(1)
VASP calculation (PBE) on an optimized crystal structure of Li2Ca2InAg5.

Geometry as POSCAR:
```
Li2Ca2InAg5
1.0
3.969 0.000 0.000
0.000 10.158 0.000
0.000 0.000 10.158
In Li Ag Ca
2 4 10 4
Cartesian
0.000 0.000 0.000
0.000 5.079 5.079
0.000 8.968 3.889
0.000 6.268 8.968
0.000 1.190 6.268
0.000 3.889 1.190
1.984 9.551 2.134
1.984 2.945 5.686
1.984 0.607 8.024
1.984 8.024 9.551
1.984 0.000 5.079
1.984 5.686 7.212
1.984 2.134 0.607
1.984 7.212 4.472
1.984 5.079 0.000
1.984 4.472 2.945
0.000 3.244 8.323
0.000 8.323 6.914
0.000 1.835 3.244
0.000 6.914 1.835
```

Energy of formation   -0.22 eV per atom
Size of the total moment   0.000 μB per cell
SG   P4/mbm (127)
Density   6.068 g/cm3

(2)
VASP calculation (PBE) on an optimized crystal structure of Na2CaCu2.

Geometry as POSCAR:
```
Na2CaCu2
1.0
-2.642 1.557 2.917
-0.002 -3.734 1.991
3.887 0.868 6.128
Na Cu Ca
2 2 1
Cartesian
-0.038 0.668 5.749
1.282 -1.978 5.287
1.648 -0.566 7.935
-0.405 -0.744 3.101
0.000 0.000 0.000
```

Energy of formation   0.12 eV per atom
Size of the total moment   0.000 μB per cell
SG   I4/mmm (139)
Density   2.964 g/cm3
ΔE to the lowest computed polymorph   0 meV/atom

(3)
VASP calculation (PBE) on an optimized crystal structure of Cd2AuI2.

Geometry as POSCAR:
```
Cd2AuI2
1.0
-6.956 5.368 -0.447
-5.365 -6.839 1.358
0.245 0.685 4.419
I Cd Au
4 4 2
Cartesian
-9.260 -0.957 0.662
-6.411 2.334 -0.007
-5.910 -3.805 0.918
-3.061 -0.513 0.249
-8.893 -2.492 3.149
-8.184 2.450 2.343
-3.184 1.707 2.181
-3.892 -3.236 2.987
0.000 0.000 0.000
-6.160 -0.735 0.455
```

Formation energy from raw total energies   76 meV/atom
Size of the total moment   0.000 μB per cell
SG   P4/mbm (127)
Density   6.473 g/cm3
ΔE to the lowest computed polymorph   0 meV/atom

(4)
VASP calculation (PBE) on an optimized crystal structure of Rb2Bi2Pt3.

Geometry as POSCAR:
```
Rb2Bi2Pt3
1.0
4.237 0.000 -1.138
-0.071 7.331 -0.265
-0.373 0.438 7.068
Bi Pt Rb
2 3 2
Cartesian
2.395 6.120 0.459
1.398 1.649 5.205
0.641 7.137 2.385
3.152 0.632 3.280
0.000 0.000 0.000
3.351 4.867 4.019
0.442 2.902 1.645
```

Energy of formation   -0.26 eV per atom
Size of the total moment   0.000 μB per cell
SG   C2/m (12)
Density   8.987 g/cm3

(5)
VASP calculation (PBE) on an optimized crystal structure of Mg2GaRh.

Geometry as POSCAR:
```
Mg2GaRh
1.0
3.264 0.000 0.000
0.000 3.264 0.000
0.000 0.000 6.263
Ga Rh Mg
1 1 2
Cartesian
1.632 1.632 3.131
1.632 1.632 0.000
0.000 0.000 4.834
0.000 0.000 1.429
```

Energy of formation   -0.38 eV per atom
Size of the total moment   0.000 μB per cell
SG   P4/mmm (123)
Density   5.506 g/cm3

(6)
VASP calculation (PBE) on an optimized crystal structure of InIrCl.

Geometry as POSCAR:
```
InIrCl
1.0
6.197 0.021 -0.023
5.360 3.110 -0.024
0.837 0.227 3.081
Ir In Cl
1 1 1
Cartesian
4.239 1.149 2.088
8.215 2.226 0.928
11.496 3.115 -0.029
```

Formation energy from raw total energies   299 meV/atom
Size of the total moment   0.000 μB per cell
SG   I4mm (107)
Density   9.625 g/cm3
ΔE to the lowest computed polymorph   58 meV/atom

(7)
VASP calculation (PBE) on an optimized crystal structure of ZnHg2Rh.

Geometry as POSCAR:
```
ZnHg2Rh
1.0
3.132 -0.011 0.000
0.011 3.132 0.000
0.000 0.000 7.650
Hg Rh Zn
2 1 1
Cartesian
0.000 0.000 7.418
1.572 1.561 2.232
0.000 0.000 4.097
1.572 1.561 5.378
```

Energy of formation   0.00 eV per atom
Size of the total moment   0.000 μB per cell
SG   P4mm (99)
Density   12.599 g/cm3

(8)
VASP calculation (PBE) on an optimized crystal structure of Tb3SI3.

Geometry as POSCAR:
```
Tb3SI3
1.0
6.700 0.000 2.153
3.004 5.989 2.153
-0.153 -0.094 11.976
I Tb S
6 6 2
Cartesian
5.132 4.551 10.859
4.420 1.344 5.424
5.369 0.555 10.143
7.654 3.348 6.861
4.182 5.340 6.140
1.898 2.547 9.422
2.556 0.172 11.367
3.830 3.687 3.495
7.290 1.770 4.227
5.722 2.208 12.788
6.995 5.723 4.916
2.261 4.125 12.056
6.470 3.993 2.871
3.082 1.902 13.412
```

Formation energy from raw total energies   -1400 meV/atom
Size of the total moment   0.000 μB per cell
SG   R-3 (148)
Density   6.113 g/cm3

(9)
VASP calculation (PBE) on an optimized crystal structure of Sm4Dy7Y.

Geometry as POSCAR:
```
Sm4Dy7Y
1.0
6.049 -1.350 2.866
1.166 5.943 2.464
2.703 -1.968 11.293
Sm Dy Y
4 7 1
Cartesian
7.043 2.698 11.868
4.674 2.526 6.273
5.244 0.099 10.350
2.875 -0.074 4.755
4.302 3.222 9.736
1.896 2.526 2.345
5.616 -0.598 6.887
2.459 0.530 8.188
8.022 0.098 14.278
7.458 2.094 8.435
3.025 -0.675 1.433
0.000 0.000 0.000
```

Energy of formation   0.09 eV per atom
Size of the total moment   0.000 μB per cell
SG   P-1 (2)
Density   7.753 g/cm3
ΔE to the lowest computed polymorph   0 meV/atom

(10)
VASP calculation (PBE) on an optimized crystal structure of NaMnBr2Cl.

Geometry as POSCAR:
```
NaMnBr2Cl
1.0
-0.035 -1.577 -3.603
-1.132 -5.154 4.413
-9.503 1.576 -0.597
Br Cl Na Mn
4 2 2 2
Cartesian
-9.287 -0.892 -1.666
-1.383 -4.263 1.879
-5.052 -3.654 1.648
-5.618 -1.500 -1.436
-2.538 -0.445 0.220
-8.132 -4.709 -0.007
-2.907 -3.051 -0.784
-7.763 -2.104 0.996
-4.752 0.788 -0.299
0.000 0.000 0.000
```

Formation energy from raw total energies   -1152 meV/atom
Size of the total moment   10.000 μB per cell
SG   Cmcm (63)
Density   3.626 g/cm3
ΔE to the lowest computed polymorph   0 meV/atom